i | ! PBE BeAlSn2, optimized geometry; values from VASP
! crystal system = cubic
&SYSTEM
  ibrav = 0, nat = 4, ntyp = 3
/
ATOMIC_SPECIES
Be 9.01 Be.upf
Sn 118.71 Sn.upf
Al 26.98 Al.upf
CELL_PARAMETERS angstrom
4.6367 0.3805 1.5030
1.0756 2.6566 3.9608
1.4248 -2.2174 4.1178
ATOMIC_POSITIONS angstrom
Be 0.0000 0.0000 0.0000
Sn 1.7843 0.2049 2.3954
Sn 5.3529 0.6148 7.1862
Al 3.5686 0.4099 4.7908

ii | ! PBE BeAlSn2, optimized geometry; values from VASP
! crystal system = tetragonal
&SYSTEM
  ibrav = 0, nat = 8, ntyp = 3
/
ATOMIC_SPECIES
Be 9.01 Be.upf
Sn 118.71 Sn.upf
Al 26.98 Al.upf
CELL_PARAMETERS angstrom
-0.7548 1.9406 4.5835
-4.1872 -2.7540 0.4765
1.5820 -6.0408 5.5828
ATOMIC_POSITIONS angstrom
Be -2.4710 -0.4067 2.5300
Be -2.5381 -4.6008 4.2946
Sn -0.5632 -0.7353 4.0987
Sn -2.3523 -2.8952 2.4877
Sn -0.8689 -4.9686 6.1076
Sn -2.9356 -5.1094 8.5916
Al 0.0000 0.0000 0.0000
Al -0.8219 -2.2535 6.3482

How far above the most stable structure does each one sit? In eV/atom: i 0.113; ii 0.000.